No. 1
VASP calculation (PBE) on NiHg2Bi after structural relaxation.

```
NiHg2Bi
1.0
0.000 3.549 3.549
3.549 0.000 3.549
3.549 3.549 0.000
Ni Hg Bi
1 2 1
direct
0.000 0.000 0.000 Ni
0.250 0.250 0.250 Hg
0.500 0.500 0.500 Hg
0.750 0.750 0.750 Bi
```

Summary:
M_tot in Bohr magnetons per cell: 0.00
Uncorrected energy in eV/atom: -2.157
Density in Mg/m³: 12.4
Calculated volume in Å³ per atom: 22.3

=====

No. 2
VASP calculation (PBE) on In2BAu after structural relaxation.

```
In2BAu
1.0
0.000 3.390 3.390
3.390 0.000 3.390
3.390 3.390 0.000
In B Au
2 1 1
direct
0.000 0.000 0.000 In
0.250 0.250 0.250 In
0.500 0.500 0.500 B
0.750 0.750 0.750 Au
```

Summary:
Uncorrected energy in eV/atom: -2.963
Density in Mg/m³: 9.3
Calculated volume in Å³ per atom: 19.5

=====

No. 3
VASP calculation (PBE) on HfGeNO after structural relaxation.

```
HfGeNO
1.0
3.356 0.000 0.000
0.000 3.356 0.000
0.000 0.000 8.679
Hf Ge N O
2 2 2 2
direct
0.250 0.250 0.150 Hf
0.750 0.750 0.850 Hf
0.250 0.750 0.500 Ge
0.750 0.250 0.500 Ge
0.250 0.250 0.749 N
0.750 0.750 0.251 N
0.250 0.750 0.000 O
0.750 0.250 0.000 O
```

Summary:
Energy above the most stable polymorph in this dataset in meV per atom: 402
M_tot in Bohr magnetons per cell: 0.00
Density in Mg/m³: 9.5
Calculated volume in Å³ per atom: 12.2

=====

No. 4
VASP calculation (PBE) on KRbWSe2S after structural relaxation.

```
KRbWSe2S
1.0
6.986 0.000 0.000
3.111 7.070 0.000
2.956 0.997 8.120
K Rb W Se S
2 2 2 4 2
direct
0.097 0.194 0.133 K
0.903 0.806 0.867 K
0.336 0.568 0.308 Rb
0.664 0.432 0.692 Rb
0.378 0.053 0.661 W
0.622 0.947 0.339 W
0.172 0.373 0.728 Se
0.370 0.830 0.906 Se
0.630 0.170 0.094 Se
0.828 0.627 0.272 Se
0.270 0.972 0.476 S
0.730 0.028 0.524 S
```

Summary:
M_tot in Bohr magnetons per cell: 0.01
Uncorrected energy in eV/atom: -5.178
Density in Mg/m³: 4.1
Calculated volume in Å³ per atom: 33.4

=====

No. 5
VASP calculation (PBE) on TbErPb2Au2 after structural relaxation.

```
TbErPb2Au2
1.0
4.782 0.000 0.000
-2.391 4.141 0.000
0.000 0.000 7.555
Tb Er Pb Au
1 1 2 2
direct
0.000 0.000 0.000 Tb
0.000 0.000 0.501 Er
0.333 0.667 0.769 Pb
0.667 0.333 0.270 Pb
0.333 0.667 0.164 Au
0.667 0.333 0.659 Au
```

Summary:
M_tot in Bohr magnetons per cell: 0.00
Uncorrected energy in eV/atom: -4.462
Density in Mg/m³: 12.6
Calculated volume in Å³ per atom: 24.9

=====

No. 6
VASP calculation (PBE) on NiPW after structural relaxation.

```
NiPW
1.0
6.477 0.000 0.000
-3.238 5.609 0.000
0.000 0.000 3.289
Ni P W
3 3 3
direct
0.000 0.602 0.000 Ni
0.398 0.398 0.000 Ni
0.602 0.000 0.000 Ni
0.000 0.000 0.000 P
0.333 0.667 0.500 P
0.667 0.333 0.500 P
0.000 0.272 0.500 W
0.272 0.000 0.500 W
0.728 0.728 0.500 W
```

Summary:
M_tot in Bohr magnetons per cell: 0.01
Uncorrected energy in eV/atom: -8.089
Density in Mg/m³: 11.4
Calculated volume in Å³ per atom: 13.3

=====

No. 7
VASP calculation (PBE) on GdSbN2O after structural relaxation.

```
GdSbN2O
1.0
5.683 0.000 0.000
0.000 3.905 0.000
0.000 0.000 5.788
Gd Sb N O
2 2 4 2
direct
0.250 0.000 0.223 Gd
0.750 0.000 0.777 Gd
0.250 0.500 0.737 Sb
0.750 0.500 0.263 Sb
0.000 0.500 0.500 N
0.250 0.000 0.821 N
0.500 0.500 0.500 N
0.750 0.000 0.179 N
0.000 0.500 0.000 O
0.500 0.500 0.000 O
```

Summary:
M_tot in Bohr magnetons per cell: 0.00
Uncorrected energy in eV/atom: -6.804
Density in Mg/m³: 8.4
Calculated volume in Å³ per atom: 12.8

=====

No. 8
VASP calculation (PBE) on LuTl after structural relaxation.

```
LuTl
1.0
0.000 3.397 3.397
3.397 0.000 3.397
3.397 3.397 0.000
Lu Tl
1 1
direct
0.000 0.000 0.000 Lu
0.750 0.750 0.750 Tl
```

Summary:
M_tot in Bohr magnetons per cell: 0.01
Uncorrected energy in eV/atom: -2.739
Density in Mg/m³: 8.0
Calculated volume in Å³ per atom: 39.2

=====

No. 9
VASP calculation (PBE) on KUAl after structural relaxation.

```
KUAl
1.0
0.000 3.718 3.718
3.718 0.000 3.718
3.718 3.718 0.000
K U Al
1 1 1
direct
0.000 0.000 0.000 K
0.750 0.750 0.750 U
0.500 0.500 0.500 Al
```

Summary:
Energy above the most stable polymorph in this dataset in meV per atom: 0
M_tot in Bohr magnetons per cell: 2.80
Density in Mg/m³: 4.9
Calculated volume in Å³ per atom: 34.3

=====

No. 10
VASP calculation (PBE) on Rb2AgClF3 after structural relaxation.

```
Rb2AgClF3
1.0
3.688 0.000 0.000
0.000 4.920 4.076
0.000 -4.920 4.076
Rb Ag Cl F
2 1 1 3
direct
0.000 0.216 0.784 Rb
0.000 0.784 0.216 Rb
0.500 0.282 0.282 Ag
0.500 0.572 0.572 Cl
0.500 0.022 0.022 F
0.500 0.052 0.479 F
0.500 0.479 0.052 F
```

Summary:
Uncorrected energy in eV/atom: -3.580
Density in Mg/m³: 4.2
Calculated volume in Å³ per atom: 21.1

=====

No. 11
VASP calculation (PBE) on LuCdIn after structural relaxation.

```
LuCdIn
1.0
0.000 3.516 3.516
3.516 0.000 3.516
3.516 3.516 0.000
Lu Cd In
1 1 1
direct
0.000 0.000 0.000 Lu
0.750 0.750 0.750 Cd
0.250 0.250 0.250 In
```

Summary:
M_tot in Bohr magnetons per cell: 0.00
Uncorrected energy in eV/atom: -2.619
Density in Mg/m³: 7.7
Calculated volume in Å³ per atom: 29.0

=====

No. 12
VASP calculation (PBE) on TmInAsO after structural relaxation.

```
TmInAsO
1.0
4.237 0.000 0.000
0.000 4.237 0.000
0.000 0.000 8.913
Tm In As O
2 2 2 2
direct
0.250 0.250 0.091 Tm
0.750 0.750 0.909 Tm
0.250 0.750 0.500 In
0.750 0.250 0.500 In
0.250 0.250 0.704 As
0.750 0.750 0.296 As
0.250 0.750 0.000 O
0.750 0.250 0.000 O
```

Summary:
Energy above the most stable polymorph in this dataset in meV per atom: 43
M_tot in Bohr magnetons per cell: 0.05
Density in Mg/m³: 7.8
Calculated volume in Å³ per atom: 20.0